Material: LiMnAsCO7
Method: DFT, PBE+U
State: relaxed

Electronic total energy: -6.6608 eV/atom
Density: 2.872 g/cm³
SG: P2_1 (4)

Unit cell a=6.411 b=5.350 c=8.813 alpha=86.23 beta=90.00 gamma=90.00
Fractional positions:
O (0.032, 0.193, 0.687)
O (0.803, 0.307, 0.070)
O (0.739, 0.052, 0.879)
O (0.223, 0.136, 0.398)
O (0.241, 0.598, 0.523)
O (0.239, 0.948, 0.121)
O (0.938, 0.811, 0.316)
O (0.741, 0.402, 0.477)
O (0.532, 0.807, 0.313)
O (0.303, 0.693, 0.930)
O (0.438, 0.189, 0.684)
O (0.737, 0.455, 0.827)
O (0.723, 0.864, 0.602)
O (0.237, 0.545, 0.173)
Mn (0.237, 0.791, 0.332)
Mn (0.737, 0.209, 0.668)
C (0.260, 0.727, 0.063)
C (0.760, 0.273, 0.937)
As (0.233, 0.278, 0.567)
As (0.733, 0.722, 0.433)
Li (0.556, 0.765, 0.813)
Li (0.056, 0.235, 0.187)